# Sr2MgAgH (GGA-PBE, optimized geometry)
# Density of states at the Fermi level, states/eV per cell: 2.42
# Offset from the most stable computed form, eV/atom: 0.049
data_Sr2MgAgH
_chemical_formula_sum 'Sr2 Mg1 Ag1 H1'
_space_group_name_H-M_alt 'P 4/m m m'
_space_group_IT_number 123
_space_group_name_Hall '-P 4 2'
_cell_length_a 5.6278
_cell_length_b 5.6278
_cell_length_c 4.1124
_cell_angle_alpha 90.00
_cell_angle_beta 90.00
_cell_angle_gamma 90.00
loop_
_atom_site_label
_atom_site_type_symbol
_atom_site_fract_x
_atom_site_fract_y
_atom_site_fract_z
Sr1 Sr 0.0000 0.5000 0.0000
Mg1 Mg 0.0000 0.0000 0.5000
Ag1 Ag 0.5000 0.5000 0.5000
H1 H 0.5000 0.5000 0.0000



# MgTaAg2H (GGA-PBE, optimized geometry)
# Density of states at the Fermi level, states/eV per cell: 3.34
# E, eV/atom: -4.235
data_MgTaAg2H
_chemical_formula_sum 'Mg1 Ta1 Ag2 H1'
_space_group_name_H-M_alt 'P 4/m m m'
_space_group_IT_number 123
_space_group_name_Hall '-P 4 2'
_cell_length_a 4.6579
_cell_length_b 4.6579
_cell_length_c 3.5729
_cell_angle_alpha 90.00
_cell_angle_beta 90.00
_cell_angle_gamma 90.00
loop_
_atom_site_label
_atom_site_type_symbol
_atom_site_fract_x
_atom_site_fract_y
_atom_site_fract_z
Mg1 Mg 0.0000 0.0000 0.0000
Ta1 Ta 0.5000 0.5000 0.0000
Ag1 Ag 0.0000 0.5000 0.5000
H1 H 0.5000 0.5000 0.5000



no.,V (Å³ per atom)
1,26.05
2,15.50